Record 1
Compound: NaMg2TlO
Source: the Alexandria database
Functional: PBE-GGA
Structure: relaxed

CIF file:
```
data_NaMg2TlO
_chemical_formula_sum 'Na1 Mg2 Tl1 O1'
_space_group_name_H-M_alt 'P 4/m m m'
_space_group_IT_number 123
_space_group_name_Hall '-P 4 2'
_cell_length_a 5.541
_cell_length_b 5.541
_cell_length_c 4.012
_cell_angle_alpha 90.00
_cell_angle_beta 90.00
_cell_angle_gamma 90.00
loop_
_atom_site_label
_atom_site_fract_x
_atom_site_fract_y
_atom_site_fract_z
_atom_site_occupancy
Na1 0.000 0.000 0.000 1
Mg1 0.000 0.500 0.000 1
Tl1 0.500 0.500 0.500 1
O1 0.000 0.000 0.500 1
```

Calculated values
E_tot = -11.08 eV per cell
uncorrected formation energy = 0.749 eV per formula unit

Record 2
Compound: La3Zn4Pt2
Source: the Alexandria database
Functional: PBE-GGA
Structure: relaxed

CIF file:
```
data_La3Zn4Pt2
_chemical_formula_sum 'La6 Zn8 Pt4'
_space_group_name_H-M_alt 'C 1 2/m 1'
_space_group_IT_number 12
_space_group_name_Hall '-C 2y'
_cell_length_a 11.153
_cell_length_b 4.483
_cell_length_c 8.730
_cell_angle_alpha 90.00
_cell_angle_beta 111.14
_cell_angle_gamma 90.00
loop_
_atom_site_label
_atom_site_fract_x
_atom_site_fract_y
_atom_site_fract_z
_atom_site_occupancy
La1 0.000 0.000 0.000 1
La2 0.178 0.500 0.653 1
Zn1 0.039 0.000 0.377 1
Zn2 0.223 0.500 0.054 1
Pt1 0.106 0.500 0.272 1
```

Calculated values
E_tot = -76.85 eV per cell

Record 3
Compound: CeSc4Tl5
Source: the Alexandria database
Functional: PBE-GGA
Structure: relaxed

CIF file:
```
data_CeSc4Tl5
_chemical_formula_sum 'Ce1 Sc4 Tl5'
_space_group_name_H-M_alt 'P 4/m m m'
_space_group_IT_number 123
_space_group_name_Hall '-P 4 2'
_cell_length_a 3.584
_cell_length_b 3.584
_cell_length_c 19.147
_cell_angle_alpha 90.00
_cell_angle_beta 90.00
_cell_angle_gamma 90.00
loop_
_atom_site_label
_atom_site_fract_x
_atom_site_fract_y
_atom_site_fract_z
_atom_site_occupancy
Ce1 0.000 0.000 0.000 1
Sc1 0.000 0.000 0.213 1
Sc2 0.000 0.000 0.405 1
Tl1 0.500 0.500 0.116 1
Tl2 0.500 0.500 0.309 1
Tl3 0.500 0.500 0.500 1
```

Calculated values
E_tot = -45.65 eV per cell

Record 4
Compound: SiMo2
Source: the Alexandria database
Functional: PBE-GGA
Structure: relaxed

CIF file:
```
data_SiMo2
_chemical_formula_sum 'Si4 Mo8'
_space_group_name_H-M_alt 'P a -3'
_space_group_IT_number 205
_space_group_name_Hall '-P 2ac 2ab 3'
_cell_length_a 5.837
_cell_length_b 5.837
_cell_length_c 5.837
_cell_angle_alpha 90.00
_cell_angle_beta 90.00
_cell_angle_gamma 90.00
loop_
_atom_site_label
_atom_site_fract_x
_atom_site_fract_y
_atom_site_fract_z
_atom_site_occupancy
Si1 0.000 0.000 0.000 1
Mo1 0.128 0.628 0.872 1
```

Calculated values
ΔE to the lowest computed polymorph = 730 meV/atom
E_tot = -103.50 eV per cell
uncorrected formation energy = 1.210 eV per formula unit

Record 5
Compound: La2NiTe
Source: the Alexandria database
Functional: PBE-GGA
Structure: relaxed

CIF file:
```
data_La2NiTe
_chemical_formula_sum 'La8 Ni4 Te4'
_space_group_name_H-M_alt 'I -4 2 d'
_space_group_IT_number 122
_space_group_name_Hall 'I -4 2bw'
_cell_length_a 7.869
_cell_length_b 7.869
_cell_length_c 7.818
_cell_angle_alpha 90.00
_cell_angle_beta 90.00
_cell_angle_gamma 90.00
loop_
_atom_site_label
_atom_site_fract_x
_atom_site_fract_y
_atom_site_fract_z
_atom_site_occupancy
La1 0.196 0.250 0.125 1
Ni1 0.000 0.000 0.000 1
Te1 0.000 0.000 0.500 1
```

Calculated values
E_tot = -85.86 eV per cell
uncorrected formation energy = -2.688 eV per formula unit

Record 6
Compound: Th2ScAu
Source: the Alexandria database
Functional: PBE-GGA
Structure: relaxed

CIF file:
```
data_Th2ScAu
_chemical_formula_sum 'Th6 Sc3 Au3'
_space_group_name_H-M_alt 'R -3 m'
_space_group_IT_number 166
_space_group_name_Hall '-R 3 2"'
_cell_length_a 3.3850
_cell_length_b 3.3850
_cell_length_c 34.6367
_cell_angle_alpha 90.00
_cell_angle_beta 90.00
_cell_angle_gamma 120.00
loop_
_atom_site_label
_atom_site_fract_x
_atom_site_fract_y
_atom_site_fract_z
_atom_site_occupancy
Th1 0.0000 0.0000 0.0855 1
Sc1 0.0000 0.0000 0.5000 1
Au1 0.0000 0.0000 0.0000 1
```

Calculated values
ΔE to the lowest computed polymorph = 454 meV/atom
E_tot = -70.42 eV per cell

Record 7
Compound: Ag2BAsBr
Source: the Alexandria database
Functional: PBE-GGA
Structure: relaxed

CIF file:
```
data_Ag2BAsBr
_chemical_formula_sum 'Ag2 B1 As1 Br1'
_space_group_name_H-M_alt 'P 4/m m m'
_space_group_IT_number 123
_space_group_name_Hall '-P 4 2'
_cell_length_a 5.196
_cell_length_b 5.196
_cell_length_c 4.303
_cell_angle_alpha 90.00
_cell_angle_beta 90.00
_cell_angle_gamma 90.00
loop_
_atom_site_label
_atom_site_fract_x
_atom_site_fract_y
_atom_site_fract_z
_atom_site_occupancy
Ag1 0.000 0.500 0.000 1
B1 0.000 0.000 0.500 1
As1 0.500 0.500 0.500 1
Br1 0.000 0.000 0.000 1
```

Calculated values
E_tot = -11.61 eV per cell
uncorrected formation energy = 7.092 eV per formula unit

Record 8
Compound: PrTcP2Os
Source: the Alexandria database
Functional: PBE-GGA
Structure: relaxed

CIF file:
```
data_PrTcP2Os
_chemical_formula_sum 'Pr2 Tc2 P4 Os2'
_space_group_name_H-M_alt 'I -4 m 2'
_space_group_IT_number 119
_space_group_name_Hall 'I -4 -2'
_cell_length_a 4.155
_cell_length_b 4.155
_cell_length_c 10.018
_cell_angle_alpha 90.00
_cell_angle_beta 90.00
_cell_angle_gamma 90.00
loop_
_atom_site_label
_atom_site_fract_x
_atom_site_fract_y
_atom_site_fract_z
_atom_site_occupancy
Pr1 0.000 0.000 0.000 1
Tc1 0.000 0.500 0.250 1
P1 0.000 0.000 0.362 1
Os1 0.000 0.500 0.750 1
```

Calculated values
E_tot = -82.66 eV per cell

Record 9
Compound: Rb3Np3ReN8
Source: the Alexandria database
Functional: PBE-GGA
Structure: relaxed

CIF file:
```
data_Rb3Np3ReN8
_chemical_formula_sum 'Rb9 Np9 Re3 N24'
_space_group_name_H-M_alt 'R -3 m'
_space_group_IT_number 166
_space_group_name_Hall '-R 3 2"'
_cell_length_a 6.7506
_cell_length_b 6.7506
_cell_length_c 20.2771
_cell_angle_alpha 90.00
_cell_angle_beta 90.00
_cell_angle_gamma 120.00
loop_
_atom_site_label
_atom_site_fract_x
_atom_site_fract_y
_atom_site_fract_z
_atom_site_occupancy
Rb1 0.0000 0.5000 0.0000 1
Np1 0.0000 0.5000 0.5000 1
Re1 0.0000 0.0000 0.5000 1
N1 0.0000 0.0000 0.2179 1
N2 0.0172 0.5086 0.2167 1
```

Calculated values
E_tot = -386.93 eV per cell
uncorrected formation energy = -8.202 eV per formula unit

Record 10
Compound: Sr2SnBr
Source: the Alexandria database
Functional: PBE-GGA
Structure: relaxed

CIF file:
```
data_Sr2SnBr
_chemical_formula_sum 'Sr8 Sn4 Br4'
_space_group_name_H-M_alt 'I -4 2 d'
_space_group_IT_number 122
_space_group_name_Hall 'I -4 2bw'
_cell_length_a 7.375
_cell_length_b 7.375
_cell_length_c 14.591
_cell_angle_alpha 90.00
_cell_angle_beta 90.00
_cell_angle_gamma 90.00
loop_
_atom_site_label
_atom_site_fract_x
_atom_site_fract_y
_atom_site_fract_z
_atom_site_occupancy
Sr1 0.243 0.250 0.125 1
Sn1 0.000 0.000 0.500 1
Br1 0.000 0.000 0.000 1
```

Calculated values
ΔE to the lowest computed polymorph = 363 meV/atom
E_tot = -48.55 eV per cell
uncorrected formation energy = -3.098 eV per formula unit

Record 11
Compound: NiSbPd3
Source: the Alexandria database
Functional: PBE-GGA
Structure: relaxed

CIF file:
```
data_NiSbPd3
_chemical_formula_sum 'Ni4 Sb4 Pd12'
_space_group_name_H-M_alt 'I m m a'
_space_group_IT_number 74
_space_group_name_Hall '-I 2b 2'
_cell_length_a 5.482
_cell_length_b 8.906
_cell_length_c 7.138
_cell_angle_alpha 90.00
_cell_angle_beta 90.00
_cell_angle_gamma 90.00
loop_
_atom_site_label
_atom_site_fract_x
_atom_site_fract_y
_atom_site_fract_z
_atom_site_occupancy
Ni1 0.250 0.250 0.250 1
Sb1 0.000 0.250 0.549 1
Pd1 0.000 0.006 0.271 1
Pd2 0.000 0.250 0.947 1
```

Calculated values
ΔE to the lowest computed polymorph = 0 meV/atom
E_tot = -102.85 eV per cell
uncorrected formation energy = -0.231 eV per formula unit

Record 12
Compound: Ce3HgPt
Source: the Alexandria database
Functional: PBE-GGA
Structure: relaxed

CIF file:
```
data_Ce3HgPt
_chemical_formula_sum 'Ce24 Hg8 Pt8'
_space_group_name_H-M_alt 'C m c m'
_space_group_IT_number 63
_space_group_name_Hall '-C 2c 2'
_cell_length_a 15.703
_cell_length_b 9.917
_cell_length_c 6.643
_cell_angle_alpha 90.00
_cell_angle_beta 90.00
_cell_angle_gamma 90.00
loop_
_atom_site_label
_atom_site_fract_x
_atom_site_fract_y
_atom_site_fract_z
_atom_site_occupancy
Ce1 0.090 0.244 0.032 1
Ce2 0.228 0.500 0.000 1
Hg1 0.000 0.018 0.750 1
Hg2 0.000 0.484 0.750 1
Pt1 0.238 0.247 0.750 1
```

Calculated values
ΔE to the lowest computed polymorph = 0 meV/atom
E_tot = -211.80 eV per cell

One value per record, in order, for DOS at the Fermi energy: 1.7 5.9 13.3 2.1 5.0 6.0 2.3 2.3 16.8 2.2 5.1 13.1 states/eV/f.u..